--- i ---
# RbTeRuN2

RbTeRuN2 after structural relaxation (PBE-GGA, the Alexandria database).

POSCAR file:
```
RbTeRuN2
1.0
4.098 0.000 0.000
0.000 4.098 0.000
0.000 0.000 6.771
Rb Te Ru N
1 1 1 2
direct
0.000 0.000 0.000 Rb
0.000 0.000 0.500 Te
0.500 0.500 0.500 Ru
0.000 0.500 0.000 N
0.500 0.000 0.000 N
```

Calculated values
The calculation puts the mass density at 5.0 g/cm3. The density of states at the Fermi level comes out at 9.146 states/eV/f.u. As for the calculated volume: 22.75 A^3/atom. The crystal system is tetragonal. The space group is P4/mmm, No. 123.


--- ii ---
# RbTeRuN2

RbTeRuN2 after structural relaxation (PBE-GGA, the Alexandria database).

POSCAR file:
```
RbTeRuN2
1.0
4.146 0.000 0.000
0.000 4.146 0.000
0.000 0.000 5.574
Rb Te Ru N
1 1 1 2
direct
0.000 0.000 0.000 Rb
0.500 0.500 0.000 Te
0.500 0.500 0.500 Ru
0.000 0.500 0.500 N
0.500 0.000 0.500 N
```

Calculated values
The calculation puts the mass density at 5.9 g/cm3. The density of states at the Fermi level comes out at 4.112 states/eV/f.u. As for the calculated volume: 19.16 A^3/atom. The crystal system is tetragonal. The space group is P4/mmm, No. 123.


ii takes first place; second place is 194.3 kJ/mol of atoms up.


--- i ---
# RbS2N2

RbS2N2 after structural relaxation (PBE-GGA, the Alexandria database).

POSCAR file:
```
RbS2N2
1.0
6.694 0.000 0.000
0.000 6.694 0.000
0.000 0.000 6.305
Rb S N
1 2 2
direct
0.000 0.000 0.000 Rb
0.000 0.500 0.000 S
0.500 0.000 0.000 S
0.000 0.000 0.500 N
0.500 0.500 0.500 N
```

Calculated values
The calculation puts the mass density at 1.0 g/cm3. The density of states at the Fermi level comes out at 7.086 states/eV/f.u. As for the calculated volume: 56.51 A^3/atom. The crystal system is tetragonal. The space group is P4/mmm, No. 123.


--- ii ---
# RbS2N2

RbS2N2 after structural relaxation (PBE-GGA, the Alexandria database).

POSCAR file:
```
RbS2N2
1.0
4.316 0.000 0.000
0.000 4.316 0.000
0.000 0.000 4.736
Rb S N
1 2 2
direct
0.000 0.000 0.000 Rb
0.500 0.500 0.000 S
0.500 0.500 0.500 S
0.000 0.500 0.500 N
0.500 0.000 0.500 N
```

Calculated values
The calculation puts the mass density at 3.3 g/cm3. The density of states at the Fermi level comes out at 2.278 states/eV/f.u. As for the calculated volume: 17.64 A^3/atom. The crystal system is tetragonal. The space group is P4/mmm, No. 123.


ii takes first place; second place is 109.8 kJ/mol of atoms up.


--- i ---
# RbS2N2

RbS2N2 after structural relaxation (PBE-GGA, the Alexandria database).

POSCAR file:
```
RbS2N2
1.0
2.862 0.000 0.000
1.418 4.567 0.000
0.007 0.160 7.851
Rb S N
1 2 2
direct
0.000 0.000 0.000 Rb
0.275 0.448 0.680 S
0.725 0.552 0.320 S
0.286 0.429 0.221 N
0.714 0.571 0.779 N
```

Calculated values
The calculation puts the mass density at 2.9 g/cm3. The density of states at the Fermi level comes out at 2.407 states/eV/f.u. As for the calculated volume: 20.52 A^3/atom. The crystal system is triclinic. The space group is P-1, No. 2.


--- ii ---
# RbS2N2

RbS2N2 after structural relaxation (PBE-GGA, the Alexandria database).

POSCAR file:
```
RbS2N2
1.0
4.018 0.000 0.000
0.000 4.018 0.000
0.000 0.000 6.102
Rb S N
1 2 2
direct
0.000 0.000 0.000 Rb
0.000 0.500 0.500 S
0.500 0.000 0.500 S
0.500 0.500 0.000 N
0.500 0.500 0.500 N
```

Calculated values
The calculation puts the mass density at 3.0 g/cm3. The density of states at the Fermi level comes out at 3.110 states/eV/f.u. As for the calculated volume: 19.70 A^3/atom. The crystal system is tetragonal. The space group is P4/mmm, No. 123.


i takes first place; second place is 94.7 kJ/mol of atoms up.


--- i ---
# RbSbSN2

RbSbSN2 after structural relaxation (PBE-GGA, the Alexandria database).

POSCAR file:
```
RbSbSN2
1.0
4.452 0.000 0.000
0.000 4.452 0.000
0.000 0.000 6.144
Rb Sb S N
1 1 1 2
direct
0.000 0.000 0.000 Rb
0.500 0.500 0.500 Sb
0.000 0.000 0.500 S
0.000 0.500 0.000 N
0.500 0.000 0.000 N
```

Calculated values
The calculation puts the mass density at 3.6 g/cm3. The density of states at the Fermi level comes out at 2.885 states/eV/f.u. As for the calculated volume: 24.35 A^3/atom. The crystal system is tetragonal. The space group is P4/mmm, No. 123.


--- ii ---
# RbSbSN2

RbSbSN2 after structural relaxation (PBE-GGA, the Alexandria database).

POSCAR file:
```
RbSbSN2
1.0
4.343 0.000 0.000
0.000 4.343 0.000
0.000 0.000 5.190
Rb Sb S N
1 1 1 2
direct
0.000 0.000 0.000 Rb
0.500 0.500 0.500 Sb
0.500 0.500 0.000 S
0.000 0.500 0.500 N
0.500 0.000 0.500 N
```

Calculated values
The calculation puts the mass density at 4.5 g/cm3. The density of states at the Fermi level comes out at 2.905 states/eV/f.u. As for the calculated volume: 19.58 A^3/atom. The crystal system is tetragonal. The space group is P4/mmm, No. 123.


ii takes first place; second place is 149.0 kJ/mol of atoms up.


--- i ---
# RbScSN2

RbScSN2 after structural relaxation (PBE-GGA, the Alexandria database).

POSCAR file:
```
RbScSN2
1.0
4.125 0.000 0.000
0.000 4.125 0.000
0.000 0.000 5.799
Rb Sc S N
1 1 1 2
direct
0.000 0.000 0.000 Rb
0.500 0.500 0.500 Sc
0.000 0.000 0.500 S
0.000 0.500 0.000 N
0.500 0.000 0.000 N
```

Calculated values
The calculation puts the mass density at 3.2 g/cm3. The density of states at the Fermi level comes out at 1.564 states/eV/f.u. As for the calculated volume: 19.73 A^3/atom. The crystal system is tetragonal. The space group is P4/mmm, No. 123.


--- ii ---
# RbScSN2

RbScSN2 after structural relaxation (PBE-GGA, the Alexandria database).

POSCAR file:
```
RbScSN2
1.0
4.529 0.000 0.000
0.000 4.529 0.000
0.000 0.000 5.069
Rb Sc S N
1 1 1 2
direct
0.000 0.000 0.000 Rb
0.500 0.500 0.500 Sc
0.500 0.500 0.000 S
0.000 0.500 0.500 N
0.500 0.000 0.500 N
```

Calculated values
The calculation puts the mass density at 3.0 g/cm3. The density of states at the Fermi level comes out at 2.349 states/eV/f.u. As for the calculated volume: 20.79 A^3/atom. The crystal system is tetragonal. The space group is P4/mmm, No. 123.


ii takes first place; second place is 161.0 kJ/mol of atoms up.


--- i ---
# RbSeSN2

RbSeSN2 after structural relaxation (PBE-GGA, the Alexandria database).

POSCAR file:
```
RbSeSN2
1.0
4.340 0.000 0.000
0.000 4.340 0.000
0.000 0.000 4.980
Rb Se S N
1 1 1 2
direct
0.000 0.000 0.000 Rb
0.500 0.500 0.500 Se
0.500 0.500 0.000 S
0.000 0.500 0.500 N
0.500 0.000 0.500 N
```

Calculated values
The calculation puts the mass density at 4.0 g/cm3. The density of states at the Fermi level comes out at 2.133 states/eV/f.u. As for the calculated volume: 18.76 A^3/atom. The crystal system is tetragonal. The space group is P4/mmm, No. 123.


--- ii ---
# RbSeSN2

RbSeSN2 after structural relaxation (PBE-GGA, the Alexandria database).

POSCAR file:
```
RbSeSN2
1.0
5.119 0.000 0.000
0.000 5.119 0.000
0.000 0.000 6.399
Rb Se S N
1 1 1 2
direct
0.000 0.000 0.000 Rb
0.500 0.500 0.500 Se
0.000 0.000 0.500 S
0.000 0.500 0.000 N
0.500 0.000 0.000 N
```

Calculated values
The calculation puts the mass density at 2.2 g/cm3. The density of states at the Fermi level comes out at 4.423 states/eV/f.u. As for the calculated volume: 33.54 A^3/atom. The crystal system is tetragonal. The space group is P4/mmm, No. 123.


--- iii ---
# RbSeSN2

RbSeSN2 after structural relaxation (PBE-GGA, the Alexandria database).

POSCAR file:
```
RbSeSN2
1.0
4.437 0.000 0.000
0.000 4.437 0.000
0.000 0.000 4.968
Rb Se S N
1 1 1 2
direct
0.000 0.000 0.000 Rb
0.500 0.500 0.000 Se
0.500 0.500 0.500 S
0.000 0.500 0.500 N
0.500 0.000 0.500 N
```

Calculated values
The calculation puts the mass density at 3.8 g/cm3. The density of states at the Fermi level comes out at 2.136 states/eV/f.u. As for the calculated volume: 19.56 A^3/atom. The crystal system is tetragonal. The space group is P4/mmm, No. 123.


i takes first place; second place is 19.4 kJ/mol of atoms up.


--- i ---
# RbSiS2N

RbSiS2N after structural relaxation (PBE-GGA, the Alexandria database).

POSCAR file:
```
RbSiS2N
1.0
5.754 0.000 0.000
0.000 5.754 0.000
0.000 0.000 5.004
Rb Si S N
1 1 2 1
direct
0.000 0.000 0.000 Rb
0.500 0.500 0.500 Si
0.000 0.500 0.000 S
0.500 0.000 0.000 S
0.000 0.000 0.500 N
```

Calculated values
The calculation puts the mass density at 1.9 g/cm3. The density of states at the Fermi level comes out at 1.686 states/eV/f.u. As for the calculated volume: 33.14 A^3/atom. The crystal system is tetragonal. The space group is P4/mmm, No. 123.


--- ii ---
# RbSiS2N

RbSiS2N after structural relaxation (PBE-GGA, the Alexandria database).

POSCAR file:
```
RbSiS2N
1.0
5.515 0.000 0.000
0.000 5.515 0.000
0.000 0.000 3.235
Rb Si S N
1 1 2 1
direct
0.000 0.000 0.000 Rb
0.500 0.500 0.500 Si
0.000 0.500 0.500 S
0.500 0.000 0.500 S
0.500 0.500 0.000 N
```

Calculated values
The calculation puts the mass density at 3.2 g/cm3. The density of states at the Fermi level comes out at 2.921 states/eV/f.u. As for the calculated volume: 19.68 A^3/atom. The crystal system is tetragonal. The space group is P4/mmm, No. 123.


ii takes first place; second place is 192.5 kJ/mol of atoms up.


--- i ---
# RbSiSN2

RbSiSN2 after structural relaxation (PBE-GGA, the Alexandria database).

POSCAR file:
```
RbSiSN2
1.0
4.984 0.000 0.000
0.000 4.984 0.000
0.000 0.000 6.266
Rb Si S N
1 1 1 2
direct
0.000 0.000 0.000 Rb
0.500 0.500 0.500 Si
0.000 0.000 0.500 S
0.000 0.500 0.000 N
0.500 0.000 0.000 N
```

Calculated values
The calculation puts the mass density at 1.9 g/cm3. The density of states at the Fermi level comes out at 2.096 states/eV/f.u. As for the calculated volume: 31.14 A^3/atom. The crystal system is tetragonal. The space group is P4/mmm, No. 123.


--- ii ---
# RbSiSN2

RbSiSN2 after structural relaxation (PBE-GGA, the Alexandria database).

POSCAR file:
```
RbSiSN2
1.0
3.948 0.000 0.000
0.000 3.948 0.000
0.000 0.000 4.777
Rb Si S N
1 1 1 2
direct
0.000 0.000 0.000 Rb
0.500 0.500 0.500 Si
0.500 0.500 0.000 S
0.000 0.500 0.500 N
0.500 0.000 0.500 N
```

Calculated values
The calculation puts the mass density at 3.9 g/cm3. The density of states at the Fermi level comes out at 2.626 states/eV/f.u. As for the calculated volume: 14.89 A^3/atom. The crystal system is tetragonal. The space group is P4/mmm, No. 123.


ii takes first place; second place is 180.3 kJ/mol of atoms up.


--- i ---
# RbSrSN2

RbSrSN2 after structural relaxation (PBE-GGA, the Alexandria database).

POSCAR file:
```
RbSrSN2
1.0
4.638 0.000 0.000
0.000 4.638 0.000
0.000 0.000 6.186
Rb Sr S N
1 1 1 2
direct
0.000 0.000 0.000 Rb
0.500 0.500 0.500 Sr
0.000 0.000 0.500 S
0.000 0.500 0.000 N
0.500 0.000 0.000 N
```

Calculated values
The calculation puts the mass density at 2.9 g/cm3. The density of states at the Fermi level comes out at 2.044 states/eV/f.u. As for the calculated volume: 26.61 A^3/atom. The crystal system is tetragonal. The space group is P4/mmm, No. 123.


--- ii ---
# RbSrSN2

RbSrSN2 after structural relaxation (PBE-GGA, the Alexandria database).

POSCAR file:
```
RbSrSN2
1.0
5.128 0.000 0.000
0.000 5.128 0.000
0.000 0.000 5.814
Rb Sr S N
1 1 1 2
direct
0.000 0.000 0.000 Rb
0.500 0.500 0.500 Sr
0.500 0.500 0.000 S
0.000 0.500 0.500 N
0.500 0.000 0.500 N
```

Calculated values
The calculation puts the mass density at 2.5 g/cm3. The density of states at the Fermi level comes out at 4.527 states/eV/f.u. As for the calculated volume: 30.58 A^3/atom. The crystal system is tetragonal. The space group is P4/mmm, No. 123.


ii takes first place; second place is 59.7 kJ/mol of atoms up.


--- i ---
# RbSrS2N

RbSrS2N after structural relaxation (PBE-GGA, the Alexandria database).

POSCAR file:
```
RbSrS2N
1.0
5.763 0.000 0.000
0.000 5.763 0.000
0.000 0.000 5.152
Rb Sr S N
1 1 2 1
direct
0.000 0.000 0.000 Rb
0.500 0.500 0.500 Sr
0.000 0.500 0.500 S
0.500 0.000 0.500 S
0.500 0.500 0.000 N
```

Calculated values
The calculation puts the mass density at 2.4 g/cm3. The density of states at the Fermi level comes out at 4.742 states/eV/f.u. As for the calculated volume: 34.21 A^3/atom. The crystal system is tetragonal. The space group is P4/mmm, No. 123.


--- ii ---
# RbSrS2N

RbSrS2N after structural relaxation (PBE-GGA, the Alexandria database).

POSCAR file:
```
RbSrS2N
1.0
5.751 0.000 0.000
0.000 5.751 0.000
0.000 0.000 4.971
Rb Sr S N
1 1 2 1
direct
0.000 0.000 0.000 Rb
0.500 0.500 0.500 Sr
0.000 0.500 0.000 S
0.500 0.000 0.000 S
0.000 0.000 0.500 N
```

Calculated values
The calculation puts the mass density at 2.5 g/cm3. The density of states at the Fermi level comes out at 2.585 states/eV/f.u. As for the calculated volume: 32.88 A^3/atom. The crystal system is tetragonal. The space group is P4/mmm, No. 123.


i takes first place; second place is 52.9 kJ/mol of atoms up.


--- i ---
# RbTaS2N

RbTaS2N after structural relaxation (PBE-GGA, the Alexandria database).

POSCAR file:
```
RbTaS2N
1.0
4.993 0.000 0.000
0.000 4.993 0.000
0.000 0.000 4.096
Rb Ta S N
1 1 2 1
direct
0.000 0.000 0.000 Rb
0.500 0.500 0.500 Ta
0.000 0.500 0.500 S
0.500 0.000 0.500 S
0.500 0.500 0.000 N
```

Calculated values
The calculation puts the mass density at 5.6 g/cm3. The density of states at the Fermi level comes out at 2.226 states/eV/f.u. As for the calculated volume: 20.42 A^3/atom. The crystal system is tetragonal. The space group is P4/mmm, No. 123.


--- ii ---
# RbTaS2N

RbTaS2N after structural relaxation (PBE-GGA, the Alexandria database).

POSCAR file:
```
RbTaS2N
1.0
5.181 0.000 0.000
0.000 5.181 0.000
0.000 0.000 4.001
Rb Ta S N
1 1 2 1
direct
0.000 0.000 0.000 Rb
0.500 0.500 0.500 Ta
0.000 0.500 0.000 S
0.500 0.000 0.000 S
0.000 0.000 0.500 N
```

Calculated values
The calculation puts the mass density at 5.3 g/cm3. The density of states at the Fermi level comes out at 3.728 states/eV/f.u. As for the calculated volume: 21.48 A^3/atom. The crystal system is tetragonal. The space group is P4/mmm, No. 123.


i takes first place; second place is 294.8 kJ/mol of atoms up.


--- i ---
# RbTeSN2

RbTeSN2 after structural relaxation (PBE-GGA, the Alexandria database).

POSCAR file:
```
RbTeSN2
1.0
5.025 0.000 0.000
0.000 5.025 0.000
0.000 0.000 6.452
Rb Te S N
1 1 1 2
direct
0.000 0.000 0.000 Rb
0.500 0.500 0.500 Te
0.000 0.000 0.500 S
0.000 0.500 0.000 N
0.500 0.000 0.000 N
```

Calculated values
The calculation puts the mass density at 2.8 g/cm3. The density of states at the Fermi level comes out at 4.073 states/eV/f.u. As for the calculated volume: 32.58 A^3/atom. The crystal system is tetragonal. The space group is P4/mmm, No. 123.


--- ii ---
# RbTeSN2

RbTeSN2 after structural relaxation (PBE-GGA, the Alexandria database).

POSCAR file:
```
RbTeSN2
1.0
4.386 0.000 0.000
0.000 4.386 0.000
0.000 0.000 5.266
Rb Te S N
1 1 1 2
direct
0.000 0.000 0.000 Rb
0.500 0.500 0.500 Te
0.500 0.500 0.000 S
0.000 0.500 0.500 N
0.500 0.000 0.500 N
```

Calculated values
The calculation puts the mass density at 4.5 g/cm3. The density of states at the Fermi level comes out at 3.665 states/eV/f.u. As for the calculated volume: 20.26 A^3/atom. The crystal system is tetragonal. The space group is P4/mmm, No. 123.


ii takes first place; second place is 124.9 kJ/mol of atoms up.